Ca2PtRh after structural relaxation. Source: Alexandria via LeMat-Bulk, functional PBE-GGA. Values from VASP.

The structure in Quantum ESPRESSO input format:
```
&SYSTEM
  ibrav = 0, nat = 4, ntyp = 3
/
ATOMIC_SPECIES
Ca 40.08 Ca.upf
Pt 195.08 Pt.upf
Rh 102.91 Rh.upf
CELL_PARAMETERS angstrom
4.787 0.000 0.000
0.000 4.787 0.000
0.000 0.000 3.587
ATOMIC_POSITIONS angstrom
Ca 0.000 2.394 0.000
Ca 2.394 0.000 0.000
Pt 0.000 0.000 1.793
Rh 2.394 2.394 1.793
```

For the energy of formation, the calculation gives -0.58 eV per atom.